An optimized crystal structure of Mg3ZnSe4, computed with PBE-GGA.

Properties
Total magnetization (μB per formula unit): 0.0
Formation energy without anion corrections (eV per atom): -1.111

Cell lengths 5.933, 5.933, 5.933 Å; angles 90.00, 90.00, 90.00 degrees
Fractional coordinates of all 8 atoms:
Mg  0.000  0.000  0.500
Mg  0.000  0.500  0.000
Mg  0.500  0.000  0.000
Zn  0.500  0.500  0.500
Se  0.256  0.256  0.744
Se  0.256  0.744  0.256
Se  0.744  0.256  0.256
Se  0.744  0.744  0.744



An optimized crystal structure of BeSiRu2, computed with PBE-GGA.

Properties
Total magnetization (μB per formula unit): 0.0
Formation energy without anion corrections (eV per atom): -0.207

Cell lengths 7.159, 7.159, 7.159 Å; angles 23.17, 23.17, 23.17 degrees
Fractional coordinates of all 4 atoms:
Be  0.000  0.000  0.000
Si  0.500  0.500  0.500
Ru  0.254  0.254  0.254
Ru  0.746  0.746  0.746